(1)
DFT (GGA-PBE) results for an optimized crystal structure of Ti6Al2Rh.

Geometry as POSCAR:
```
Ti6Al2Rh
1.0
-3.5011 -0.7429 2.3422
2.7243 -5.0330 2.4759
2.7811 6.5171 2.3356
Ti Al Rh
6 2 1
direct
0.8378 0.0799 0.6748
0.1622 0.9201 0.3252
0.8378 0.5948 0.6748
0.1622 0.4052 0.3252
0.5000 0.7600 0.0000
0.5000 0.2400 0.0000
0.6656 0.6661 0.3322
0.3344 0.3339 0.6678
0.0000 0.0000 0.0000
```

formation enthalpy at 0 K	0.9	eV per formula unit
symmetry	C2/m (12)
magnetic moment	0.000	μB/atom
volume	171.6	Å³ per cell
crystal system	monoclinic



(2)
DFT (GGA-PBE) results for an optimized crystal structure of Rb2UAgSe4.

Geometry as POSCAR:
```
Rb2UAgSe4
1.0
-3.0132 -2.5858 6.0552
6.8946 -2.0525 -0.8266
0.4779 7.2249 -0.0579
Se Rb U Ag
4 2 1 1
direct
0.9091 0.5562 0.1255
0.0909 0.2164 0.6471
0.4307 0.8745 0.7836
0.5693 0.3529 0.4438
0.0000 0.0000 0.0000
0.5000 0.7500 0.2500
0.5000 0.2500 0.7500
0.0000 0.5000 0.5000
```

symmetry	I-4 (82)
ΔE_f (raw)	-0.80	eV/atom
magnetic moment	0.125	μB/atom
volume	289.2	Å³ per cell
crystal system	tetragonal



Number 1: DOS(E_F) 11.42 states/eV/f.u.. Number 2: DOS(E_F) 6.35 states/eV/f.u..